[1]
This record from Alexandria describes a geometry-optimized LiYNbN3 structure. The functional is PBE.

```
data_LiYNbN3
_symmetry_space_group_name_H-M 'P 1 21/m 1'
_symmetry_Int_Tables_number 11
_cell_length_a 6.698
_cell_length_b 3.191
_cell_length_c 6.823
_cell_angle_alpha 90.00
_cell_angle_beta 103.45
_cell_angle_gamma 90.00
loop_
_symmetry_equiv_pos_as_xyz
'x,y,z'
'-x,-y,-z'
'-x,y+1/2,-z'
'x,-y+1/2,z'
loop_
_atom_site_label
_atom_site_fract_x
_atom_site_fract_y
_atom_site_fract_z
Li1 0.078 0.250 0.087
Y1 0.200 0.250 0.727
Nb1 0.328 0.750 0.313
N1 0.129 0.250 0.366
N2 0.218 0.750 0.019
N3 0.445 0.750 0.667
```

Values from the calculation:
N(E_F)   0.28 states/eV per cell
Energy relative to the elements, uncorrected   -990 meV/atom

---

[2]
This record from Alexandria describes a geometry-optimized Li2YNb3N6 structure. The functional is PBE.

```
data_Li2YNb3N6
_symmetry_space_group_name_H-M 'C 1 2/m 1'
_symmetry_Int_Tables_number 12
_cell_length_a 5.399
_cell_length_b 9.361
_cell_length_c 5.683
_cell_angle_alpha 90.00
_cell_angle_beta 108.13
_cell_angle_gamma 90.00
loop_
_symmetry_equiv_pos_as_xyz
'x,y,z'
'-x,-y,-z'
'-x,y,-z'
'x,-y,z'
'x+1/2,y+1/2,z'
'-x+1/2,-y+1/2,-z'
'-x+1/2,y+1/2,-z'
'x+1/2,-y+1/2,z'
loop_
_atom_site_label
_atom_site_fract_x
_atom_site_fract_y
_atom_site_fract_z
Li1 0.000 0.165 0.000
Y1 0.000 0.500 0.000
Nb1 0.000 0.000 0.500
Nb2 0.000 0.328 0.500
N1 0.241 0.168 0.725
N2 0.242 0.500 0.722
```

Values from the calculation:
N(E_F)   5.90 states/eV per cell
Energy relative to the elements, uncorrected   -1064 meV/atom

---

[3]
This record from Alexandria describes a geometry-optimized LiNb4ZnN8 structure. The functional is PBE.

```
data_LiNb4ZnN8
_symmetry_space_group_name_H-M 'R 3 m'
_symmetry_Int_Tables_number 160
_symmetry_space_group_name_Hall 'R 3 -2"'
_cell_length_a 6.2864
_cell_length_b 6.2864
_cell_length_c 14.9618
_cell_angle_alpha 90.00
_cell_angle_beta 90.00
_cell_angle_gamma 120.00
loop_
_atom_site_label
_atom_site_fract_x
_atom_site_fract_y
_atom_site_fract_z
Li1 0.0000 0.0000 0.0000
Nb1 0.0000 0.0000 0.6210
Nb2 0.1726 0.3451 0.8308
Zn1 0.0000 0.0000 0.3784
N1 0.0000 0.0000 0.2440
N2 0.0000 0.0000 0.7583
N3 0.0142 0.5071 0.7637
N4 0.1711 0.3421 0.5808
```

Values from the calculation:
N(E_F)   19.23 states/eV per cell
Energy relative to the elements, uncorrected   -508 meV/atom

---

[4]
This record from Alexandria describes a geometry-optimized LiNbZnN3 structure. The functional is PBE.

```
data_LiNbZnN3
_symmetry_space_group_name_H-M 'P 1 21/m 1'
_symmetry_Int_Tables_number 11
_cell_length_a 5.421
_cell_length_b 3.125
_cell_length_c 7.497
_cell_angle_alpha 90.00
_cell_angle_beta 93.51
_cell_angle_gamma 90.00
loop_
_symmetry_equiv_pos_as_xyz
'x,y,z'
'-x,-y,-z'
'-x,y+1/2,-z'
'x,-y+1/2,z'
loop_
_atom_site_label
_atom_site_fract_x
_atom_site_fract_y
_atom_site_fract_z
Li1 0.100 0.250 0.158
Nb1 0.372 0.250 0.820
Zn1 0.248 0.750 0.481
N1 0.069 0.250 0.670
N2 0.278 0.750 0.986
N3 0.446 0.250 0.328
```

Values from the calculation:
N(E_F)   7.62 states/eV per cell
Energy relative to the elements, uncorrected   -291 meV/atom

---

[5]
This record from Alexandria describes a geometry-optimized LiZr3Nb3N8 structure. The functional is PBE.

```
data_LiZr3Nb3N8
_symmetry_space_group_name_H-M 'R -3 m'
_symmetry_Int_Tables_number 166
_symmetry_space_group_name_Hall '-R 3 2"'
_cell_length_a 6.2502
_cell_length_b 6.2502
_cell_length_c 15.4466
_cell_angle_alpha 90.00
_cell_angle_beta 90.00
_cell_angle_gamma 120.00
loop_
_atom_site_label
_atom_site_fract_x
_atom_site_fract_y
_atom_site_fract_z
Li1 0.0000 0.0000 0.0000
Zr1 0.0000 0.5000 0.5000
Nb1 0.0000 0.5000 0.0000
N1 0.0000 0.0000 0.2519
N2 0.0008 0.5004 0.2544
```

Values from the calculation:
N(E_F)   4.58 states/eV per cell
Energy relative to the elements, uncorrected   -1176 meV/atom

---

[6]
This record from Alexandria describes a geometry-optimized Li2ZrNbN4 structure. The functional is PBE.

```
data_Li2ZrNbN4
_symmetry_space_group_name_H-M 'I m m a'
_symmetry_Int_Tables_number 74
_symmetry_space_group_name_Hall '-I 2b 2'
_cell_length_a 6.272
_cell_length_b 6.436
_cell_length_c 8.992
_cell_angle_alpha 90.00
_cell_angle_beta 90.00
_cell_angle_gamma 90.00
loop_
_atom_site_label
_atom_site_fract_x
_atom_site_fract_y
_atom_site_fract_z
Li1 0.000 0.000 0.000
Li2 0.250 0.250 0.250
Zr1 0.000 0.000 0.500
Nb1 0.250 0.250 0.750
N1 0.000 0.025 0.745
N2 0.238 0.250 0.515
```

Values from the calculation:
N(E_F)   10.22 states/eV per cell
Energy relative to the elements, uncorrected   -843 meV/atom

---

[7]
This record from Alexandria describes a geometry-optimized Li3Zr2NbN6 structure. The functional is PBE.

```
data_Li3Zr2NbN6
_symmetry_space_group_name_H-M 'C 1 2/m 1'
_symmetry_Int_Tables_number 12
_cell_length_a 5.591
_cell_length_b 9.693
_cell_length_c 5.370
_cell_angle_alpha 90.00
_cell_angle_beta 110.04
_cell_angle_gamma 90.00
loop_
_symmetry_equiv_pos_as_xyz
'x,y,z'
'-x,-y,-z'
'-x,y,-z'
'x,-y,z'
'x+1/2,y+1/2,z'
'-x+1/2,-y+1/2,-z'
'-x+1/2,y+1/2,-z'
'x+1/2,-y+1/2,z'
loop_
_atom_site_label
_atom_site_fract_x
_atom_site_fract_y
_atom_site_fract_z
Li1 0.000 0.000 0.000
Li2 0.000 0.341 0.000
Zr1 0.000 0.167 0.500
Nb1 0.000 0.500 0.500
N1 0.234 0.339 0.724
N2 0.249 0.500 0.276
```

Values from the calculation:
N(E_F)   11.27 states/eV per cell
Energy relative to the elements, uncorrected   -843 meV/atom

---

[8]
This record from Alexandria describes a geometry-optimized LiZr2NbN4 structure. The functional is PBE.

```
data_LiZr2NbN4
_symmetry_space_group_name_H-M 'I 4/m m m'
_symmetry_Int_Tables_number 139
_symmetry_space_group_name_Hall '-I 4 2'
_cell_length_a 4.470
_cell_length_b 4.470
_cell_length_c 9.040
_cell_angle_alpha 90.00
_cell_angle_beta 90.00
_cell_angle_gamma 90.00
loop_
_atom_site_label
_atom_site_fract_x
_atom_site_fract_y
_atom_site_fract_z
Li1 0.000 0.000 0.000
Zr1 0.000 0.500 0.250
Nb1 0.000 0.000 0.500
N1 0.000 0.000 0.254
N2 0.000 0.500 0.000
```

Values from the calculation:
N(E_F)   4.82 states/eV per cell
Energy relative to the elements, uncorrected   -1333 meV/atom

---

[9]
This record from Alexandria describes a geometry-optimized LiZrNbN2 structure. The functional is PBE.

```
data_LiZrNbN2
_symmetry_space_group_name_H-M 'P 4/m m m'
_symmetry_Int_Tables_number 123
_symmetry_space_group_name_Hall '-P 4 2'
_cell_length_a 4.113
_cell_length_b 4.113
_cell_length_c 5.488
_cell_angle_alpha 90.00
_cell_angle_beta 90.00
_cell_angle_gamma 90.00
loop_
_atom_site_label
_atom_site_fract_x
_atom_site_fract_y
_atom_site_fract_z
Li1 0.000 0.000 0.000
Zr1 0.500 0.500 0.000
Nb1 0.500 0.500 0.500
N1 0.000 0.500 0.500
```

Values from the calculation:
N(E_F)   5.67 states/eV per cell
Energy relative to the elements, uncorrected   926 meV/atom

---

[10]
This record from Alexandria describes a geometry-optimized LiZrNbN3 structure. The functional is PBE.

```
data_LiZrNbN3
_symmetry_space_group_name_H-M 'P 1 21/m 1'
_symmetry_Int_Tables_number 11
_cell_length_a 6.448
_cell_length_b 3.109
_cell_length_c 6.653
_cell_angle_alpha 90.00
_cell_angle_beta 102.37
_cell_angle_gamma 90.00
loop_
_symmetry_equiv_pos_as_xyz
'x,y,z'
'-x,-y,-z'
'-x,y+1/2,-z'
'x,-y+1/2,z'
loop_
_atom_site_label
_atom_site_fract_x
_atom_site_fract_y
_atom_site_fract_z
Li1 0.081 0.250 0.083
Zr1 0.189 0.250 0.713
Nb1 0.338 0.750 0.307
N1 0.108 0.250 0.367
N2 0.224 0.750 0.003
N3 0.425 0.750 0.663
```

Values from the calculation:
N(E_F)   3.48 states/eV per cell
Energy relative to the elements, uncorrected   -944 meV/atom

---

[11]
This record from Alexandria describes a geometry-optimized LiNd3N structure. The functional is PBE.

```
data_LiNd3N
_symmetry_space_group_name_H-M 'P m -3 m'
_symmetry_Int_Tables_number 221
_symmetry_space_group_name_Hall '-P 4 2 3'
_cell_length_a 5.067
_cell_length_b 5.067
_cell_length_c 5.067
_cell_angle_alpha 90.00
_cell_angle_beta 90.00
_cell_angle_gamma 90.00
loop_
_atom_site_label
_atom_site_fract_x
_atom_site_fract_y
_atom_site_fract_z
Li1 0.000 0.000 0.000
Nd1 0.000 0.500 0.500
N1 0.500 0.500 0.500
```

Values from the calculation:
N(E_F)   5.42 states/eV per cell
Energy relative to the elements, uncorrected   -444 meV/atom

---

[12]
This record from Alexandria describes a geometry-optimized LiNdN structure. The functional is PBE.

```
data_LiNdN
_symmetry_space_group_name_H-M 'F -4 3 m'
_symmetry_Int_Tables_number 216
_symmetry_space_group_name_Hall 'F -4 2 3'
_cell_length_a 5.773
_cell_length_b 5.773
_cell_length_c 5.773
_cell_angle_alpha 90.00
_cell_angle_beta 90.00
_cell_angle_gamma 90.00
loop_
_atom_site_label
_atom_site_fract_x
_atom_site_fract_y
_atom_site_fract_z
Li1 0.000 0.000 0.000
Nd1 0.000 0.000 0.500
N1 0.250 0.250 0.250
```

Values from the calculation:
N(E_F)   6.75 states/eV per cell
Energy relative to the elements, uncorrected   -566 meV/atom

---

[13]
This record from Alexandria describes a geometry-optimized LiNdNp4N8 structure. The functional is PBE.

```
data_LiNdNp4N8
_symmetry_space_group_name_H-M 'R 3 m'
_symmetry_Int_Tables_number 160
_symmetry_space_group_name_Hall 'R 3 -2"'
_cell_length_a 6.9091
_cell_length_b 6.9091
_cell_length_c 15.5247
_cell_angle_alpha 90.00
_cell_angle_beta 90.00
_cell_angle_gamma 120.00
loop_
_atom_site_label
_atom_site_fract_x
_atom_site_fract_y
_atom_site_fract_z
Li1 0.0000 0.0000 0.0000
Nd1 0.0000 0.0000 0.3837
Np1 0.0000 0.0000 0.6111
Np2 0.1679 0.3359 0.8283
N1 0.0000 0.0000 0.2306
N2 0.0000 0.0000 0.7552
N3 0.0489 0.5245 0.7592
N4 0.1774 0.3548 0.5637
```

Values from the calculation:
N(E_F)   57.50 states/eV per cell
Energy relative to the elements, uncorrected   -979 meV/atom

---

[14]
This record from Alexandria describes a geometry-optimized LiNdNpN3 structure. The functional is PBE.

```
data_LiNdNpN3
_symmetry_space_group_name_H-M 'P 1 21/m 1'
_symmetry_Int_Tables_number 11
_cell_length_a 6.985
_cell_length_b 3.486
_cell_length_c 7.138
_cell_angle_alpha 90.00
_cell_angle_beta 104.20
_cell_angle_gamma 90.00
loop_
_symmetry_equiv_pos_as_xyz
'x,y,z'
'-x,-y,-z'
'-x,y+1/2,-z'
'x,-y+1/2,z'
loop_
_atom_site_label
_atom_site_fract_x
_atom_site_fract_y
_atom_site_fract_z
Li1 0.084 0.250 0.074
Nd1 0.278 0.750 0.815
Np1 0.326 0.750 0.325
N1 0.030 0.750 0.208
N2 0.364 0.250 0.118
N3 0.368 0.250 0.575
```

Values from the calculation:
N(E_F)   8.75 states/eV per cell
Energy relative to the elements, uncorrected   -1021 meV/atom

---

[15]
This record from Alexandria describes a geometry-optimized LiNd2NpN4 structure. The functional is PBE.

```
data_LiNd2NpN4
_symmetry_space_group_name_H-M 'I 4/m m m'
_symmetry_Int_Tables_number 139
_symmetry_space_group_name_Hall '-I 4 2'
_cell_length_a 4.807
_cell_length_b 4.807
_cell_length_c 10.508
_cell_angle_alpha 90.00
_cell_angle_beta 90.00
_cell_angle_gamma 90.00
loop_
_atom_site_label
_atom_site_fract_x
_atom_site_fract_y
_atom_site_fract_z
Li1 0.000 0.000 0.000
Nd1 0.000 0.500 0.250
Np1 0.000 0.000 0.500
N1 0.000 0.000 0.303
N2 0.000 0.500 0.000
```

Values from the calculation:
N(E_F)   8.12 states/eV per cell
Energy relative to the elements, uncorrected   -1135 meV/atom

---

[16]
This record from Alexandria describes a geometry-optimized Li2NdOsN4 structure. The functional is PBE.

```
data_Li2NdOsN4
_symmetry_space_group_name_H-M 'I -4 2 m'
_symmetry_Int_Tables_number 121
_symmetry_space_group_name_Hall 'I -4 2'
_cell_length_a 5.509
_cell_length_b 5.509
_cell_length_c 6.613
_cell_angle_alpha 90.00
_cell_angle_beta 90.00
_cell_angle_gamma 90.00
loop_
_atom_site_label
_atom_site_fract_x
_atom_site_fract_y
_atom_site_fract_z
Li1 0.000 0.500 0.250
Nd1 0.000 0.000 0.000
Os1 0.000 0.000 0.500
N1 0.194 0.194 0.657
```

Values from the calculation:
N(E_F)   6.45 states/eV per cell
Energy relative to the elements, uncorrected   -476 meV/atom

---

[17]
This record from Alexandria describes a geometry-optimized LiNd2Os2N6 structure. The functional is PBE.

```
data_LiNd2Os2N6
_symmetry_space_group_name_H-M 'R -3 m'
_symmetry_Int_Tables_number 166
_symmetry_space_group_name_Hall '-R 3 2"'
_cell_length_a 5.6858
_cell_length_b 5.6858
_cell_length_c 17.4194
_cell_angle_alpha 90.00
_cell_angle_beta 90.00
_cell_angle_gamma 120.00
loop_
_atom_site_label
_atom_site_fract_x
_atom_site_fract_y
_atom_site_fract_z
Li1 0.0000 0.0000 0.0000
Nd1 0.0000 0.0000 0.2091
Os1 0.0000 0.0000 0.3987
N1 0.0121 0.5060 0.7621
```

Values from the calculation:
N(E_F)   15.93 states/eV per cell
Energy relative to the elements, uncorrected   -225 meV/atom

---

[18]
This record from Alexandria describes a geometry-optimized Li2NdPN structure. The functional is PBE.

```
data_Li2NdPN
_symmetry_space_group_name_H-M 'I 4/m c m'
_symmetry_Int_Tables_number 140
_symmetry_space_group_name_Hall '-I 4 2c'
_cell_length_a 5.910
_cell_length_b 5.910
_cell_length_c 9.374
_cell_angle_alpha 90.00
_cell_angle_beta 90.00
_cell_angle_gamma 90.00
loop_
_atom_site_label
_atom_site_fract_x
_atom_site_fract_y
_atom_site_fract_z
Li1 0.177 0.323 0.000
Nd1 0.000 0.000 0.250
P1 0.000 0.500 0.250
N1 0.000 0.000 0.000
```

Values from the calculation:
N(E_F)   14.01 states/eV per cell
Energy relative to the elements, uncorrected   -723 meV/atom

---

[19]
This record from Alexandria describes a geometry-optimized LiNd2P2N6 structure. The functional is PBE.

```
data_LiNd2P2N6
_symmetry_space_group_name_H-M 'R -3 m'
_symmetry_Int_Tables_number 166
_symmetry_space_group_name_Hall '-R 3 2"'
_cell_length_a 5.5002
_cell_length_b 5.5002
_cell_length_c 16.9443
_cell_angle_alpha 90.00
_cell_angle_beta 90.00
_cell_angle_gamma 120.00
loop_
_atom_site_label
_atom_site_fract_x
_atom_site_fract_y
_atom_site_fract_z
Li1 0.0000 0.0000 0.0000
Nd1 0.0000 0.0000 0.2075
P1 0.0000 0.0000 0.4218
N1 0.0028 0.5014 0.2437
```

Values from the calculation:
N(E_F)   10.35 states/eV per cell
Energy relative to the elements, uncorrected   -594 meV/atom

---

[20]
This record from Alexandria describes a geometry-optimized Li2NdPN4 structure. The functional is PBE.

```
data_Li2NdPN4
_symmetry_space_group_name_H-M 'I -4 2 m'
_symmetry_Int_Tables_number 121
_symmetry_space_group_name_Hall 'I -4 2'
_cell_length_a 5.279
_cell_length_b 5.279
_cell_length_c 6.570
_cell_angle_alpha 90.00
_cell_angle_beta 90.00
_cell_angle_gamma 90.00
loop_
_atom_site_label
_atom_site_fract_x
_atom_site_fract_y
_atom_site_fract_z
Li1 0.000 0.500 0.250
Nd1 0.000 0.000 0.000
P1 0.000 0.000 0.500
N1 0.183 0.183 0.638
```

Values from the calculation:
N(E_F)   8.14 states/eV per cell
Energy relative to the elements, uncorrected   -616 meV/atom